BaTaW2 | GGA-PBE | relaxed

Output
distance to the lowest polymorph of the same formula	436	meV per atom
DFT total energy	-8.732	eV/atom
formation energy	1.188	eV per atom

Cell lengths 2.9590, 2.9590, 33.2989 Å; angles 90.00, 90.00, 120.00 degrees
Closest atoms and distances in Å follow each position.
Sites, in units of the cell vectors:
Ba 0.0000 0.0000 0.0000  6 Ba 2.96
Ba 0.3333 0.6667 0.6667  6 Ba 2.96
Ba 0.6667 0.3333 0.3333  6 Ba 2.96
Ta 0.0000 0.0000 0.5000  6 Ta 2.96, 6 W 2.97
Ta 0.3333 0.6667 0.1667  6 Ta 2.96, 6 W 2.97
Ta 0.6667 0.3333 0.8333  6 Ta 2.96, 6 W 2.97
W 0.0000 0.0000 0.2395  6 W 2.96, 3 Ta 2.97
W 0.0000 0.0000 0.7605  6 W 2.96, 3 Ta 2.97
W 0.3333 0.6667 0.4271  6 W 2.96, 3 Ta 2.97
W 0.3333 0.6667 0.9062  6 W 2.96, 3 Ta 2.97
W 0.6667 0.3333 0.0938  6 W 2.96, 3 Ta 2.97
W 0.6667 0.3333 0.5729  6 W 2.96, 3 Ta 2.97


AlTc2Os | GGA-PBE | relaxed

Output
DFT total energy	-9.095	eV/atom
formation energy	-0.169	eV per atom

Cell lengths 3.0521, 4.2589, 8.7318 Å; angles 90.00, 90.00, 90.00 degrees
Closest atoms and distances in Å follow each position.
Sites, in units of the cell vectors:
Al 0.0000 0.0000 0.0000  4 Tc 2.61, 4 Os 2.62
Al 0.5000 0.5000 0.5000  4 Tc 2.61, 4 Os 2.62
Tc 0.0000 0.5000 0.2572  2 Al 2.61, 4 Tc 2.62, 2 Os 2.72
Tc 0.0000 0.5000 0.7428  2 Al 2.61, 4 Tc 2.62, 2 Os 2.72
Tc 0.5000 0.0000 0.2428  2 Al 2.61, 4 Tc 2.62, 2 Os 2.72
Tc 0.5000 0.0000 0.7572  2 Al 2.61, 4 Tc 2.62, 2 Os 2.72
Os 0.0000 0.0000 0.5000  4 Al 2.62, 4 Tc 2.72
Os 0.5000 0.5000 0.0000  4 Al 2.62, 4 Tc 2.72


SrInTc | GGA-PBE | relaxed

Output
distance to the lowest polymorph of the same formula	0	meV per atom
DFT total energy	-4.573	eV/atom
formation energy	0.355	eV per atom

Cell lengths 3.6832, 3.6832, 11.1871 Å; angles 90.00, 90.00, 90.00 degrees
Closest atoms and distances in Å follow each position.
Sites, in units of the cell vectors:
Sr 0.0000 0.0000 0.0000  1 In 3.14, 5 Tc 3.29-3.47
Sr 0.5000 0.5000 0.5000  1 In 3.14, 5 Tc 3.29-3.47
In 0.0000 0.0000 0.7189  4 Tc 2.74
In 0.5000 0.5000 0.2189  4 Tc 2.74
Tc 0.0000 0.0000 0.2945  4 In 2.74
Tc 0.5000 0.5000 0.7945  4 In 2.74


Pr2ZrNiS5 | GGA-PBE | relaxed

Output
DFT total energy	-6.614	eV/atom
energy relative to the elements, uncorrected	-1.6662	eV/atom

Cell lengths 8.5432, 8.5432, 11.6104 Å; angles 90.00, 90.00, 154.16 degrees
Closest atoms and distances in Å follow each position.
Sites, in units of the cell vectors:
Pr 0.1146 0.8854 0.5000  8 S 2.86-3.10
Pr 0.1212 0.8788 0.1330  7 S 2.84-3.12
Pr 0.8788 0.1212 0.6330  7 S 2.84-3.12
Pr 0.8854 0.1146 0.0000  8 S 2.86-3.10
Zr 0.1814 0.8186 0.8203  6 S 2.46-2.73
Zr 0.8186 0.1814 0.3203  6 S 2.46-2.73
Ni 0.4310 0.5690 0.2408  4 S 2.24-2.30
Ni 0.5690 0.4310 0.7408  4 S 2.24-2.30
S 0.0343 0.9657 0.8400  2 Ni 2.30, 1 Zr 2.46
S 0.2969 0.7031 0.4785  2 Zr 2.68, 2 Pr 2.95
S 0.3070 0.6930 0.1660  1 Ni 2.24
S 0.3451 0.6549 0.8176  1 Zr 2.73, 4 Pr 2.93
S 0.4986 0.5014 0.5765  1 Ni 2.24
S 0.5014 0.4986 0.0765  1 Ni 2.24
S 0.6549 0.3451 0.3176  1 Zr 2.73, 4 Pr 2.93
S 0.6930 0.3070 0.6660  1 Ni 2.24
S 0.7031 0.2969 0.9785  2 Zr 2.68, 2 Pr 2.95
S 0.9657 0.0343 0.3400  2 Ni 2.30, 1 Zr 2.46


Nd7Y2Er | GGA-PBE | relaxed

Output
distance to the lowest polymorph of the same formula	254	meV per atom
DFT total energy	-4.444	eV/atom
formation energy	0.642	eV per atom

Cell lengths 9.7745, 9.7745, 5.4481 Å; angles 90.00, 90.00, 127.18 degrees
Closest atoms and distances in Å follow each position.
Sites, in units of the cell vectors:
Nd 0.0000 0.0000 0.0000  4 Nd 3.37, 2 Y 3.64
Nd 0.2116 0.4281 0.0000  2 Nd 3.13-3.37, 1 Y 3.28
Nd 0.3004 0.6996 0.5000  2 Y 3.17, 1 Er 3.49, 4 Nd 3.53
Nd 0.4281 0.2116 0.0000  2 Nd 3.13-3.37, 1 Y 3.28
Nd 0.5719 0.7884 0.0000  2 Nd 3.13-3.37, 1 Y 3.28
Nd 0.6996 0.3004 0.5000  2 Y 3.17, 1 Er 3.49, 4 Nd 3.53
Nd 0.7884 0.5719 0.0000  2 Nd 3.13-3.37, 1 Y 3.28
Y 0.2076 0.7924 0.0000  4 Nd 3.17-3.28
Y 0.7924 0.2076 0.0000  4 Nd 3.17-3.28
Er 0.5000 0.5000 0.5000  10 Nd 3.49-3.67


Li3Pb2Cl7 | GGA-PBE | relaxed

Output
DFT total energy	-3.623	eV/atom
energy relative to the elements, uncorrected	-1.4494	eV/atom

Cell lengths 13.2052, 13.2052, 6.9272 Å; angles 90.00, 90.00, 30.87 degrees
Closest atoms and distances in Å follow each position.
Sites, in units of the cell vectors:
Li 0.0945 0.4743 0.4866  4 Cl 2.42-2.55
Li 0.2203 0.7797 0.5000  4 Cl 2.39-2.47
Li 0.4743 0.0945 0.9866  4 Cl 2.42-2.55
Li 0.5257 0.9055 0.4866  4 Cl 2.42-2.55
Li 0.7797 0.2203 0.0000  4 Cl 2.39-2.47
Li 0.9055 0.5257 0.9866  4 Cl 2.42-2.55
Pb 0.1302 0.6598 0.0077  6 Cl 2.84-3.12
Pb 0.3402 0.8698 0.0077  6 Cl 2.84-3.12
Pb 0.6598 0.1302 0.5077  6 Cl 2.84-3.12
Pb 0.8698 0.3402 0.5077  6 Cl 2.84-3.12
Cl 0.0405 0.2674 0.1611  1 Li 2.42
Cl 0.0889 0.9111 0.8293  2 Li 2.46-2.47
Cl 0.1621 0.4211 0.1242  3 Li 2.45-2.55
Cl 0.2674 0.0405 0.6611  1 Li 2.42
Cl 0.3265 0.5300 0.3711  1 Li 2.39
Cl 0.4211 0.1621 0.6242  3 Li 2.45-2.55
Cl 0.4700 0.6735 0.3711  1 Li 2.39
Cl 0.5300 0.3265 0.8711  1 Li 2.39
Cl 0.5789 0.8379 0.1242  3 Li 2.45-2.55
Cl 0.6735 0.4700 0.8711  1 Li 2.39
Cl 0.7326 0.9595 0.1611  1 Li 2.42
Cl 0.8379 0.5789 0.6242  3 Li 2.45-2.55
Cl 0.9111 0.0889 0.3293  2 Li 2.46-2.47
Cl 0.9595 0.7326 0.6611  1 Li 2.42


Na3TcHg | GGA-PBE | relaxed

Output
distance to the lowest polymorph of the same formula	8	meV per atom
DFT total energy	-1.869	eV/atom
formation energy	1.055	eV per atom

Cell lengths 5.8424, 5.8424, 5.8424 Å; angles 90.00, 90.00, 90.00 degrees
Closest atoms and distances in Å follow each position.
Sites, in units of the cell vectors:
Na 0.0000 0.0000 0.5000  2 Tc 2.92
Na 0.0000 0.5000 0.0000  2 Tc 2.92
Na 0.5000 0.0000 0.0000  2 Tc 2.92
Tc 0.0000 0.0000 0.0000  6 Na 2.92
Hg 0.5000 0.5000 0.5000  12 Na 4.13


Tb5FeHg2 | GGA-PBE | relaxed

Output
DFT total energy	-4.254	eV/atom
formation energy	-0.227	eV per atom

Cell lengths 8.7597, 12.1542, 4.0627 Å; angles 90.00, 90.00, 90.00 degrees
Closest atoms and distances in Å follow each position.
Sites, in units of the cell vectors:
Tb 0.0000 0.0000 0.0000  4 Hg 3.03
Tb 0.1435 0.3112 0.0000  1 Fe 2.62
Tb 0.1763 0.5714 0.5000  2 Fe 2.70
Tb 0.3237 0.0714 0.5000  2 Fe 2.70
Tb 0.3565 0.8112 0.0000  1 Fe 2.62
Tb 0.5000 0.5000 0.0000  4 Hg 3.03
Tb 0.6435 0.1888 0.0000  1 Fe 2.62
Tb 0.6763 0.9286 0.5000  2 Fe 2.70
Tb 0.8237 0.4286 0.5000  2 Fe 2.70
Tb 0.8565 0.6888 0.0000  1 Fe 2.62
Fe 0.0000 0.5000 0.0000  6 Tb 2.62-2.70
Fe 0.5000 0.0000 0.0000  6 Tb 2.62-2.70
Hg 0.0693 0.8223 0.5000  7 Tb 3.03-3.24
Hg 0.4307 0.3223 0.5000  7 Tb 3.03-3.24
Hg 0.5693 0.6777 0.5000  7 Tb 3.03-3.24
Hg 0.9307 0.1777 0.5000  7 Tb 3.03-3.24